Computed, not measured: a relaxed PrGa6Cu6 crystal at the PBE level of DFT.

POSCAR file:
```
PrGa6Cu6
1.0
-4.954 -0.662 -1.368
-0.668 -2.590 -6.140
-2.345 -6.063 1.611
Pr Ga Cu
1 6 6
direct
0.000 0.000 0.000 Pr
0.350 0.650 0.650 Ga
0.650 0.350 0.350 Ga
0.000 0.348 0.652 Ga
0.000 0.652 0.348 Ga
0.299 0.201 0.201 Ga
0.701 0.799 0.799 Ga
0.000 0.500 0.000 Cu
0.500 0.500 0.000 Cu
0.000 0.000 0.500 Cu
0.500 0.000 0.500 Cu
0.500 0.766 0.234 Cu
0.500 0.234 0.766 Cu
```

Summary:
The total energy is -3.94 eV per atom. Its energy of formation is -287 meV per atom. Its crystal system is orthorhombic. The calculation puts the density of states at the Fermi level at 0.195 states/eV/atom.